# 1
Entry from Alexandria via LeMat-Bulk: ZnCu2H2 after structural relaxation (GGA-PBE).

Values from the calculation:
* excess energy over the best structure of this formula in the dataset: 4.4 meV per atom
* mass density: 6.27 Mg/m³
* final energy: -2.998 eV per atom
* total moment: 0.0 μB/cell

The structure in POSCAR format:
```
ZnCu2H2
1.0
6.0450 0.0000 0.0000
0.0000 6.0450 0.0000
0.0000 0.0000 2.8198
Zn Cu H
2 4 4
Direct
0.0000 0.0000 0.0000
0.5000 0.5000 0.0000
0.2168 0.2832 0.5000
0.2832 0.7832 0.5000
0.7168 0.2168 0.5000
0.7832 0.7168 0.5000
0.1256 0.3744 0.0000
0.3744 0.8744 0.0000
0.6256 0.1256 0.0000
0.8744 0.6256 0.0000
```


# 2
Entry from Alexandria via LeMat-Bulk: Zn2Cu2H after structural relaxation (GGA-PBE).

Values from the calculation:
* mass density: 7.33 Mg/m³
* final energy: -2.705 eV per atom
* total moment: 0.0 μB/cell

The structure in POSCAR format:
```
Zn2Cu2H
1.0
5.0747 0.0000 0.0000
0.0000 5.0747 0.0000
0.0000 0.0000 4.5578
Zn Cu H
4 4 2
Direct
0.1691 0.3309 0.0000
0.3309 0.8309 0.0000
0.6691 0.1691 0.0000
0.8309 0.6691 0.0000
0.1735 0.6735 0.5000
0.3265 0.1735 0.5000
0.6735 0.8265 0.5000
0.8265 0.3265 0.5000
0.0000 0.0000 0.5000
0.5000 0.5000 0.5000
```